(1)
## Cu5Pt3 (PBE)

Data for Cu5Pt3 after structural relaxation.

ΔE_f = -0.1304 eV per atom
D(E_F) = 1.0611 states/eV/atom
energy relative to the lowest polymorph listed for this composition = 11 meV/atom
theoretical density = 13.77 Mg/m³
energy = -4.96 eV per atom

```
data_Cu5Pt3
_chemical_formula_sum 'Cu15 Pt9'
_cell_length_a 5.4129
_cell_length_b 5.4129
_cell_length_c 12.8747
_cell_angle_alpha 90.00
_cell_angle_beta 90.00
_cell_angle_gamma 120.00
_space_group_name_H-M_alt 'R -3 m'
_space_group_IT_number 166
_space_group_name_Hall '-R 3 2"'
loop_
_atom_site_label
_atom_site_type_symbol
_atom_site_fract_x
_atom_site_fract_y
_atom_site_fract_z
Cu1 Cu 0.0000 0.0000 0.0000
Cu2 Cu 0.0000 0.0000 0.5000
Cu3 Cu 0.0000 0.5000 0.0000
Pt1 Pt 0.0000 0.5000 0.5000
```


(2)
## Cu5Pt7 (PBE)

Data for Cu5Pt7 after structural relaxation.

ΔE_f = -0.1328 eV per atom
D(E_F) = 0.8386 states/eV/atom
energy relative to the lowest polymorph listed for this composition = 0 meV/atom
theoretical density = 16.32 Mg/m³
energy = -5.36 eV per atom

```
data_Cu5Pt7
_chemical_formula_sum 'Cu5 Pt7'
_cell_length_a 2.7497
_cell_length_b 8.1882
_cell_length_c 7.6062
_cell_angle_alpha 90.00
_cell_angle_beta 90.00
_cell_angle_gamma 90.00
_space_group_name_H-M_alt 'P m m 2'
_space_group_IT_number 25
loop_
_space_group_symop_operation_xyz
'x,y,z'
'-x,-y,z'
'-x,y,z'
'x,-y,z'
loop_
_atom_site_label
_atom_site_type_symbol
_atom_site_fract_x
_atom_site_fract_y
_atom_site_fract_z
Cu1 Cu 0.0000 0.0000 0.0000
Cu2 Cu 0.0000 0.3293 0.5149
Cu3 Cu 0.5000 0.1631 0.7622
Pt1 Pt 0.0000 0.0000 0.5266
Pt2 Pt 0.0000 0.3249 0.0026
Pt3 Pt 0.5000 0.1650 0.2621
Pt4 Pt 0.5000 0.5000 0.2749
Pt5 Pt 0.5000 0.5000 0.7456
```


(3)
## Cu7Pt5 (PBE)

Data for Cu7Pt5 after structural relaxation.

ΔE_f = -0.1249 eV per atom
D(E_F) = 0.8486 states/eV/atom
energy relative to the lowest polymorph listed for this composition = 20 meV/atom
theoretical density = 14.39 Mg/m³
energy = -5.03 eV per atom

```
data_Cu7Pt5
_chemical_formula_sum 'Cu7 Pt5'
_cell_length_a 3.8044
_cell_length_b 5.3837
_cell_length_c 8.0033
_cell_angle_alpha 90.00
_cell_angle_beta 90.00
_cell_angle_gamma 90.00
_space_group_name_H-M_alt 'P m m m'
_space_group_IT_number 47
loop_
_space_group_symop_operation_xyz
'x,y,z'
'-x,-y,-z'
'-x,-y,z'
'x,y,-z'
'x,-y,-z'
'-x,y,z'
'-x,y,-z'
'x,-y,z'
loop_
_atom_site_label
_atom_site_type_symbol
_atom_site_fract_x
_atom_site_fract_y
_atom_site_fract_z
Cu1 Cu 0.0000 0.0000 0.0000
Cu2 Cu 0.0000 0.5000 0.3298
Cu3 Cu 0.5000 0.2517 0.1614
Pt1 Pt 0.0000 0.0000 0.3188
Pt2 Pt 0.0000 0.5000 0.0000
Pt3 Pt 0.5000 0.2528 0.5000
```


(4)
## CuPt4 (PBE)

Data for CuPt4 after structural relaxation.

ΔE_f = 0.3680 eV per atom
D(E_F) = 1.7583 states/eV/atom
energy relative to the lowest polymorph listed for this composition = 453 meV/atom
theoretical density = 16.06 Mg/m³
energy = -5.28 eV per atom

```
data_CuPt4
_chemical_formula_sum 'Cu2 Pt8'
_cell_length_a 3.6785
_cell_length_b 3.6785
_cell_length_c 12.8974
_cell_angle_alpha 90.00
_cell_angle_beta 90.00
_cell_angle_gamma 90.00
_space_group_name_H-M_alt 'I 4/m m m'
_space_group_IT_number 139
_space_group_name_Hall '-I 4 2'
loop_
_atom_site_label
_atom_site_type_symbol
_atom_site_fract_x
_atom_site_fract_y
_atom_site_fract_z
Cu1 Cu 0.0000 0.0000 0.0000
Pt1 Pt 0.0000 0.0000 0.4040
Pt2 Pt 0.0000 0.5000 0.2500
```


(5)
## PuCu3Pt (PBE)

Data for PuCu3Pt after structural relaxation.

ΔE_f = 0.0593 eV per atom
D(E_F) = 3.5767 states/eV/atom
theoretical density = 11.02 Mg/m³
energy = -6.47 eV per atom

```
data_PuCu3Pt
_chemical_formula_sum 'Pu3 Cu9 Pt3'
_cell_length_a 6.5502
_cell_length_b 6.5502
_cell_length_c 7.6582
_cell_angle_alpha 90.00
_cell_angle_beta 90.00
_cell_angle_gamma 120.00
_space_group_name_H-M_alt 'R 3 m'
_space_group_IT_number 160
_space_group_name_Hall 'R 3 -2"'
loop_
_atom_site_label
_atom_site_type_symbol
_atom_site_fract_x
_atom_site_fract_y
_atom_site_fract_z
Pu1 Pu 0.0000 0.0000 0.0000
Cu1 Cu 0.2096 0.4191 0.3046
Pt1 Pt 0.0000 0.0000 0.3611
```


(6)
## Pu2CuPt6 (PBE)

Data for Pu2CuPt6 after structural relaxation.

ΔE_f = -0.5958 eV per atom
D(E_F) = 2.4487 states/eV/atom
energy relative to the lowest polymorph listed for this composition = 0 meV/atom
theoretical density = 17.27 Mg/m³
energy = -8.26 eV per atom

```
data_Pu2CuPt6
_chemical_formula_sum 'Pu4 Cu2 Pt12'
_cell_length_a 9.5292
_cell_length_b 5.5468
_cell_length_c 6.4441
_cell_angle_alpha 90.00
_cell_angle_beta 103.59
_cell_angle_gamma 90.00
_space_group_name_H-M_alt 'C 1 2/m 1'
_space_group_IT_number 12
loop_
_space_group_symop_operation_xyz
'x,y,z'
'-x,-y,-z'
'-x,y,-z'
'x,-y,z'
'x+1/2,y+1/2,z'
'-x+1/2,-y+1/2,-z'
'-x+1/2,y+1/2,-z'
'x+1/2,-y+1/2,z'
loop_
_atom_site_label
_atom_site_type_symbol
_atom_site_fract_x
_atom_site_fract_y
_atom_site_fract_z
Pu1 Pu 0.1474 0.0000 0.3725
Cu1 Cu 0.0000 0.5000 0.5000
Pt1 Pt 0.1198 0.5000 0.1897
Pt2 Pt 0.1332 0.2454 0.8179
```


(7)
## PuCuPt (PBE)

Data for PuCuPt after structural relaxation.

ΔE_f = -0.1531 eV per atom
D(E_F) = 1.5489 states/eV/atom
energy relative to the lowest polymorph listed for this composition = 377 meV/atom
theoretical density = 16.21 Mg/m³
energy = -8.31 eV per atom

```
data_PuCuPt
_chemical_formula_sum 'Pu2 Cu2 Pt2'
_cell_length_a 3.8415
_cell_length_b 3.2670
_cell_length_c 8.3133
_cell_angle_alpha 90.00
_cell_angle_beta 99.31
_cell_angle_gamma 90.00
_space_group_name_H-M_alt 'P 1 21/m 1'
_space_group_IT_number 11
loop_
_space_group_symop_operation_xyz
'x,y,z'
'-x,-y,-z'
'-x,y+1/2,-z'
'x,-y+1/2,z'
loop_
_atom_site_label
_atom_site_type_symbol
_atom_site_fract_x
_atom_site_fract_y
_atom_site_fract_z
Pu1 Pu 0.1447 0.2500 0.0875
Cu1 Cu 0.2475 0.7500 0.4809
Pt1 Pt 0.3256 0.2500 0.7337
```


(8)
## Pu2CuPt3 (PBE)

Data for Pu2CuPt3 after structural relaxation.

ΔE_f = -0.7312 eV per atom
D(E_F) = 2.8556 states/eV/atom
energy relative to the lowest polymorph listed for this composition = 0 meV/atom
theoretical density = 16.94 Mg/m³
energy = -9.21 eV per atom

```
data_Pu2CuPt3
_chemical_formula_sum 'Pu6 Cu3 Pt9'
_cell_length_a 5.5282
_cell_length_b 5.5282
_cell_length_c 12.6287
_cell_angle_alpha 90.00
_cell_angle_beta 90.00
_cell_angle_gamma 120.00
_space_group_name_H-M_alt 'R -3 m'
_space_group_IT_number 166
_space_group_name_Hall '-R 3 2"'
loop_
_atom_site_label
_atom_site_type_symbol
_atom_site_fract_x
_atom_site_fract_y
_atom_site_fract_z
Pu1 Pu 0.0000 0.0000 0.1231
Cu1 Cu 0.0000 0.0000 0.5000
Pt1 Pt 0.0000 0.5000 0.0000
```


(9)
## Pu2CuPt (PBE)

Data for Pu2CuPt after structural relaxation.

ΔE_f = -0.3210 eV per atom
D(E_F) = 3.6600 states/eV/atom
theoretical density = 14.79 Mg/m³
energy = -10.02 eV per atom

```
data_Pu2CuPt
_chemical_formula_sum 'Pu2 Cu1 Pt1'
_cell_length_a 4.6368
_cell_length_b 4.6368
_cell_length_c 3.9001
_cell_angle_alpha 90.00
_cell_angle_beta 90.00
_cell_angle_gamma 90.00
_space_group_name_H-M_alt 'P 4/m m m'
_space_group_IT_number 123
_space_group_name_Hall '-P 4 2'
loop_
_atom_site_label
_atom_site_type_symbol
_atom_site_fract_x
_atom_site_fract_y
_atom_site_fract_z
Pu1 Pu 0.0000 0.5000 0.0000
Cu1 Cu 0.0000 0.0000 0.5000
Pt1 Pt 0.5000 0.5000 0.5000
```


(10)
## Pu2CuPt3 (PBE)

Data for Pu2CuPt3 after structural relaxation.

ΔE_f = -0.7122 eV per atom
D(E_F) = 3.1007 states/eV/atom
energy relative to the lowest polymorph listed for this composition = 19 meV/atom
theoretical density = 16.93 Mg/m³
energy = -9.19 eV per atom

```
data_Pu2CuPt3
_chemical_formula_sum 'Pu4 Cu2 Pt6'
_cell_length_a 5.5136
_cell_length_b 5.5136
_cell_length_c 8.4682
_cell_angle_alpha 90.00
_cell_angle_beta 90.00
_cell_angle_gamma 120.00
_space_group_name_H-M_alt 'P 63/m m c'
_space_group_IT_number 194
_space_group_name_Hall '-P 6c 2c'
loop_
_atom_site_label
_atom_site_type_symbol
_atom_site_fract_x
_atom_site_fract_y
_atom_site_fract_z
Pu1 Pu 0.3333 0.6667 0.0664
Cu1 Cu 0.0000 0.0000 0.0000
Pt1 Pt 0.1673 0.3346 0.7500
```